The following is a PBE-GGA calculation of crystalline Cu2MoBr at its relaxed geometry, from Alexandria via LeMat-Bulk.

Cell and atoms, written as CIF:
```
data_Cu2MoBr
_cell_length_a 3.0171
_cell_length_b 3.0171
_cell_length_c 26.9140
_cell_angle_alpha 90.00
_cell_angle_beta 90.00
_cell_angle_gamma 120.00
_symmetry_space_group_name_H-M 'R 3 m'
_symmetry_Int_Tables_number 160
_symmetry_space_group_name_Hall 'R 3 -2"'
loop_
_atom_site_label
_atom_site_type_symbol
_atom_site_fract_x
_atom_site_fract_y
_atom_site_fract_z
Cu1 Cu 0.0000 0.0000 0.0000
Cu2 Cu 0.0000 0.0000 0.2678
Mo1 Mo 0.0000 0.0000 0.7425
Br1 Br 0.0000 0.0000 0.4800
```

Properties
**Final energy**: -56.770 eV per cell
**Density of states at the Fermi level**: 5.02 states/eV/cell


The following is a PBE-GGA calculation of crystalline CuMo2Br at its relaxed geometry, from Alexandria via LeMat-Bulk.

Cell and atoms, written as CIF:
```
data_CuMo2Br
_cell_length_a 3.094
_cell_length_b 4.488
_cell_length_c 4.678
_cell_angle_alpha 90.00
_cell_angle_beta 90.00
_cell_angle_gamma 90.00
_symmetry_space_group_name_H-M 'P m m m'
_symmetry_Int_Tables_number 47
_symmetry_space_group_name_Hall '-P 2 2'
loop_
_atom_site_label
_atom_site_type_symbol
_atom_site_fract_x
_atom_site_fract_y
_atom_site_fract_z
Cu1 Cu 0.000 0.000 0.000
Mo1 Mo 0.000 0.500 0.500
Mo2 Mo 0.500 0.000 0.500
Br1 Br 0.500 0.500 0.000
```

Properties
**Final energy**: -23.954 eV per cell
**Density of states at the Fermi level**: 3.31 states/eV/cell


The following is a PBE-GGA calculation of crystalline Cu2MoBr at its relaxed geometry, from Alexandria via LeMat-Bulk.

Cell and atoms, written as CIF:
```
data_Cu2MoBr
_cell_length_a 2.867
_cell_length_b 4.458
_cell_length_c 4.971
_cell_angle_alpha 90.00
_cell_angle_beta 90.00
_cell_angle_gamma 90.00
_symmetry_space_group_name_H-M 'P m m 2'
_symmetry_Int_Tables_number 25
_symmetry_space_group_name_Hall 'P 2 -2'
loop_
_atom_site_label
_atom_site_type_symbol
_atom_site_fract_x
_atom_site_fract_y
_atom_site_fract_z
Cu1 Cu 0.000 0.000 0.000
Cu2 Cu 0.000 0.500 0.247
Mo1 Mo 0.500 0.500 0.779
Br1 Br 0.500 0.000 0.537
```

Properties
**Final energy**: -18.260 eV per cell
**Density of states at the Fermi level**: 2.89 states/eV/cell


The following is a PBE-GGA calculation of crystalline Cu2MoBr at its relaxed geometry, from Alexandria via LeMat-Bulk.

Cell and atoms, written as CIF:
```
data_Cu2MoBr
_cell_length_a 3.703
_cell_length_b 4.270
_cell_length_c 8.464
_cell_angle_alpha 90.00
_cell_angle_beta 90.00
_cell_angle_gamma 90.00
_symmetry_space_group_name_H-M 'C m m m'
_symmetry_Int_Tables_number 65
_symmetry_space_group_name_Hall '-C 2 2'
loop_
_atom_site_label
_atom_site_type_symbol
_atom_site_fract_x
_atom_site_fract_y
_atom_site_fract_z
Cu1 Cu 0.000 0.000 0.220
Mo1 Mo 0.000 0.500 0.000
Br1 Br 0.000 0.500 0.500
```

Properties
**Final energy**: -37.059 eV per cell
**Density of states at the Fermi level**: 6.64 states/eV/cell


The following is a PBE-GGA calculation of crystalline CuMo2Br at its relaxed geometry, from Alexandria via LeMat-Bulk.

Cell and atoms, written as CIF:
```
data_CuMo2Br
_cell_length_a 3.768
_cell_length_b 3.768
_cell_length_c 9.280
_cell_angle_alpha 90.00
_cell_angle_beta 90.00
_cell_angle_gamma 90.00
_symmetry_space_group_name_H-M 'I 4/m m m'
_symmetry_Int_Tables_number 139
_symmetry_space_group_name_Hall '-I 4 2'
loop_
_atom_site_label
_atom_site_type_symbol
_atom_site_fract_x
_atom_site_fract_y
_atom_site_fract_z
Cu1 Cu 0.000 0.000 0.000
Mo1 Mo 0.000 0.500 0.250
Br1 Br 0.000 0.000 0.500
```

Properties
**Final energy**: -47.014 eV per cell
**Density of states at the Fermi level**: 6.32 states/eV/cell


The following is a PBE-GGA calculation of crystalline Cu2MoBr at its relaxed geometry, from Alexandria via LeMat-Bulk.

Cell and atoms, written as CIF:
```
data_Cu2MoBr
_cell_length_a 3.877
_cell_length_b 3.877
_cell_length_c 8.111
_cell_angle_alpha 90.00
_cell_angle_beta 90.00
_cell_angle_gamma 90.00
_symmetry_space_group_name_H-M 'I -4 m 2'
_symmetry_Int_Tables_number 119
_symmetry_space_group_name_Hall 'I -4 -2'
loop_
_atom_site_label
_atom_site_type_symbol
_atom_site_fract_x
_atom_site_fract_y
_atom_site_fract_z
Cu1 Cu 0.000 0.000 0.000
Cu2 Cu 0.000 0.500 0.250
Mo1 Mo 0.000 0.500 0.750
Br1 Br 0.000 0.000 0.500
```

Properties
**Final energy**: -34.897 eV per cell
**Density of states at the Fermi level**: 5.77 states/eV/cell